## Nd2SeOF2 (PBE)

Data for Nd2SeOF2 after structural relaxation.

Calculated density in g/cm3: 6.4
E_form (uncorrected) in eV per formula unit: -20.16
Crystal system: hexagonal
VASP energy in eV per atom: -6.981
DOS(E_F) in states/eV/f.u.: 0.00
Spin magnetization in Bohr magnetons per cell: 0.00
Space-group type: P6_3/m, No. 176

Geometry as CIF:
```
data_Nd2SeOF2
_chemical_formula_sum 'Nd12 Se6 O6 F12'
_space_group_name_H-M_alt 'P 1'
_space_group_IT_number 1
_cell_length_a 13.914
_cell_length_b 13.914
_cell_length_c 3.904
_cell_angle_alpha 90.00
_cell_angle_beta 90.00
_cell_angle_gamma 120.00
loop_
_space_group_symop_operation_xyz
'x,y,z'
loop_
_atom_site_label
_atom_site_fract_x
_atom_site_fract_y
_atom_site_fract_z
_atom_site_occupancy
Nd1 0.603 0.484 0.750 1
Nd2 0.516 0.119 0.750 1
Nd3 0.881 0.397 0.750 1
Nd4 0.397 0.516 0.250 1
Nd5 0.484 0.881 0.250 1
Nd6 0.119 0.603 0.250 1
Nd7 0.945 0.710 0.750 1
Nd8 0.290 0.235 0.750 1
Nd9 0.765 0.055 0.750 1
Nd10 0.055 0.290 0.250 1
Nd11 0.710 0.765 0.250 1
Nd12 0.235 0.945 0.250 1
Se1 0.282 0.795 0.750 1
Se2 0.205 0.487 0.750 1
Se3 0.513 0.718 0.750 1
Se4 0.718 0.205 0.250 1
Se5 0.795 0.513 0.250 1
Se6 0.487 0.282 0.250 1
O1 0.015 0.587 0.750 1
O2 0.413 0.427 0.750 1
O3 0.573 0.985 0.750 1
O4 0.985 0.413 0.250 1
O5 0.587 0.573 0.250 1
O6 0.427 0.015 0.250 1
F1 0.109 0.898 0.750 1
F2 0.102 0.211 0.750 1
F3 0.789 0.891 0.750 1
F4 0.891 0.102 0.250 1
F5 0.898 0.789 0.250 1
F6 0.211 0.109 0.250 1
F7 0.752 0.684 0.750 1
F8 0.316 0.068 0.750 1
F9 0.932 0.248 0.750 1
F10 0.248 0.316 0.250 1
F11 0.684 0.932 0.250 1
F12 0.068 0.752 0.250 1
```